Density functional theory data (PBE+U) for VGaPb2O5 after structural relaxation.

Total moment (μB/f.u.): 2.0
Uncorrected energy (eV for the cell shown): -112.15

Lattice parameters (Å, degrees): 7.138 7.138 11.755 90.00 90.00 153.43
Atoms (fractional coordinates):
V (0.205, 0.795, 0.500)
V (0.795, 0.205, 0.000)
Ga (0.453, 0.547, 0.900)
Ga (0.547, 0.453, 0.400)
Pb (0.108, 0.892, 0.117)
Pb (0.150, 0.850, 0.774)
Pb (0.850, 0.150, 0.274)
Pb (0.892, 0.108, 0.617)
O (0.043, 0.957, 0.487)
O (0.291, 0.709, 0.113)
O (0.318, 0.682, 0.889)
O (0.346, 0.654, 0.485)
O (0.479, 0.521, 0.267)
O (0.521, 0.479, 0.767)
O (0.654, 0.346, 0.985)
O (0.682, 0.318, 0.389)
O (0.709, 0.291, 0.613)
O (0.957, 0.043, 0.987)